A relaxed CsRb3Te2 crystal, computed with GGA-PBE.

## Properties
Energy relative to the elements, uncorrected (eV per atom): -1.00

Cell and atoms, written as CIF:
```
data_CsRb3Te2
_cell_length_a 5.664
_cell_length_b 11.108
_cell_length_c 9.353
_cell_angle_alpha 90.00
_cell_angle_beta 90.00
_cell_angle_gamma 90.00
_space_group_name_H-M_alt 'P m c 21'
_space_group_IT_number 26
loop_
_space_group_symop_operation_xyz
'x,y,z'
'-x,-y,z+1/2'
'-x,y,z'
'x,-y,z+1/2'
loop_
_atom_site_label
_atom_site_fract_x
_atom_site_fract_y
_atom_site_fract_z
Cs1 0.000 0.073 0.000
Rb1 0.000 0.323 0.617
Rb2 0.500 0.180 0.324
Rb3 0.500 0.422 0.945
Te1 0.000 0.368 0.226
Te2 0.500 0.138 0.716
```

***

A relaxed PrAlTl2S4 crystal, computed with GGA-PBE.

## Properties
Energy relative to the elements, uncorrected (eV per atom): -0.96

Cell and atoms, written as CIF:
```
data_PrAlTl2S4
_cell_length_a 7.868
_cell_length_b 8.667
_cell_length_c 11.707
_cell_angle_alpha 90.00
_cell_angle_beta 90.00
_cell_angle_gamma 90.00
_space_group_name_H-M_alt 'I m m a'
_space_group_IT_number 74
_space_group_name_Hall '-I 2b 2'
loop_
_atom_site_label
_atom_site_fract_x
_atom_site_fract_y
_atom_site_fract_z
Pr1 0.000 0.000 0.000
Al1 0.250 0.250 0.250
Tl1 0.000 0.000 0.500
Tl2 0.250 0.250 0.750
S1 0.000 0.059 0.244
S2 0.232 0.250 0.034
```

***

A relaxed SrCa2Cr crystal, computed with GGA-PBE.

## Properties
ΔE to the lowest computed polymorph (meV/atom): 0

Cell and atoms, written as CIF:
```
data_SrCa2Cr
_cell_length_a 3.926
_cell_length_b 3.926
_cell_length_c 9.599
_cell_angle_alpha 90.00
_cell_angle_beta 90.00
_cell_angle_gamma 90.00
_space_group_name_H-M_alt 'P 4/m m m'
_space_group_IT_number 123
_space_group_name_Hall '-P 4 2'
loop_
_atom_site_label
_atom_site_fract_x
_atom_site_fract_y
_atom_site_fract_z
Sr1 0.000 0.000 0.000
Ca1 0.500 0.500 0.311
Cr1 0.000 0.000 0.500
```

***

A relaxed YHo2Pt2 crystal, computed with GGA-PBE.

## Properties
ΔE to the lowest computed polymorph (meV/atom): 0

Cell and atoms, written as CIF:
```
data_YHo2Pt2
_cell_length_a 7.744
_cell_length_b 7.744
_cell_length_c 3.940
_cell_angle_alpha 90.00
_cell_angle_beta 90.00
_cell_angle_gamma 90.00
_space_group_name_H-M_alt 'P 4/m b m'
_space_group_IT_number 127
_space_group_name_Hall '-P 4 2ab'
loop_
_atom_site_label
_atom_site_fract_x
_atom_site_fract_y
_atom_site_fract_z
Y1 0.000 0.000 0.000
Ho1 0.160 0.340 0.500
Pt1 0.139 0.639 0.000
```

***

| no. | calculated volume (A^3/atom) | density of states at the Fermi level (states/eV per cell) | uncorrected energy (eV per atom) |
| --- | --- | --- | --- |
| 1 | 49.04 | 0.000 | -2.6745 |
| 2 | 24.95 | 1.602 | -4.6792 |
| 3 | 37.00 | 3.080 | -3.4625 |
| 4 | 23.63 | 7.115 | -6.6142 |